Record 1
# SiNiMo2 PBE optimized geometry
# E = -33.23 eV per formula unit
# E_form (uncorrected) = -0.091 eV per atom
# spin magnetization = 0.000 μB per atom
data_SiNiMo2
_cell_length_a 3.1875
_cell_length_b 3.1875
_cell_length_c 5.4950
_cell_angle_alpha 90.00
_cell_angle_beta 90.00
_cell_angle_gamma 90.00
_space_group_name_H-M_alt 'P 4 m m'
_space_group_IT_number 99
_space_group_name_Hall 'P 4 -2'
loop_
_atom_site_label
_atom_site_fract_x
_atom_site_fract_y
_atom_site_fract_z
Si1 0.0000 0.0000 0.0000
Ni1 0.5000 0.5000 0.7867
Mo1 0.0000 0.0000 0.5177
Mo2 0.5000 0.5000 0.2654

---

Record 2
# SiNiMo2 PBE optimized geometry
# E = -31.73 eV per formula unit
# E_form (uncorrected) = 0.284 eV per atom
# spin magnetization = 0.000 μB per atom
data_SiNiMo2
_cell_length_a 6.7084
_cell_length_b 6.7084
_cell_length_c 5.2491
_cell_angle_alpha 90.00
_cell_angle_beta 90.00
_cell_angle_gamma 90.00
_space_group_name_H-M_alt 'I -4 2 d'
_space_group_IT_number 122
_space_group_name_Hall 'I -4 2bw'
loop_
_atom_site_label
_atom_site_fract_x
_atom_site_fract_y
_atom_site_fract_z
Si1 0.0000 0.0000 0.0000
Ni1 0.0000 0.0000 0.5000
Mo1 0.2483 0.2500 0.1250

---

Record 3
# SiNi3Mo PBE optimized geometry
# E = -26.25 eV per formula unit
# polymorph energy (0 for the lowest one) = 841 meV/atom
# E_form (uncorrected) = 1.470 eV per atom
# spin magnetization = 0.000 μB per atom
data_SiNi3Mo
_cell_length_a 4.4815
_cell_length_b 4.4815
_cell_length_c 4.4815
_cell_angle_alpha 90.00
_cell_angle_beta 90.00
_cell_angle_gamma 90.00
_space_group_name_H-M_alt 'P m -3 m'
_space_group_IT_number 221
_space_group_name_Hall '-P 4 2 3'
loop_
_atom_site_label
_atom_site_fract_x
_atom_site_fract_y
_atom_site_fract_z
Si1 0.0000 0.0000 0.0000
Ni1 0.0000 0.5000 0.5000
Mo1 0.5000 0.5000 0.5000

---

Record 4
# SiNi2Mo PBE optimized geometry
# E = -28.84 eV per formula unit
# E_form (uncorrected) = -0.256 eV per atom
# spin magnetization = 0.000 μB per atom
data_SiNi2Mo
_cell_length_a 2.7161
_cell_length_b 2.7161
_cell_length_c 6.5886
_cell_angle_alpha 90.00
_cell_angle_beta 90.00
_cell_angle_gamma 90.00
_space_group_name_H-M_alt 'P 4/m m m'
_space_group_IT_number 123
_space_group_name_Hall '-P 4 2'
loop_
_atom_site_label
_atom_site_fract_x
_atom_site_fract_y
_atom_site_fract_z
Si1 0.0000 0.0000 0.0000
Ni1 0.5000 0.5000 0.2061
Mo1 0.0000 0.0000 0.5000

---

E_form (uncorrected) of number 1 (SiNiMo2)? -0.091 eV per atom